#i
A PBEsol-optimized structure of Li2ReCl. Source: the Alexandria database, functional SCAN.

abc: 3.4960 3.4960 5.2434
angles: 109.47 109.47 90.00
Positions (direct):
Cl (0.2500, 0.7500, 0.5000)
Li (0.0000, 0.0000, 0.0000)
Li (0.7500, 0.2500, 0.5000)
Re (0.5000, 0.5000, 0.0000)

#ii
A PBEsol-optimized structure of Li2ReCl. Source: the Alexandria database, functional SCAN.

abc: 2.8403 2.8403 8.1839
angles: 80.01 80.01 60.00
Positions (direct):
Cl (0.0000, 0.0000, 0.0000)
Li (0.2652, 0.2652, 0.2043)
Li (0.7348, 0.7348, 0.7957)
Re (0.5000, 0.5000, 0.5000)

Which is most stable? The ranking, best first, is #ii, #i.

#i
A PBEsol-optimized structure of LiReCl2. Source: the Alexandria database, functional SCAN.

abc: 3.0475 3.0465 7.2364
angles: 102.15 90.62 90.00
Positions (direct):
Cl (0.1185, 0.0015, 0.0030)
Cl (0.6324, 0.7665, 0.5331)
Li (0.6209, 0.5490, 0.0979)
Re (0.1281, 0.1830, 0.3660)

#ii
A PBEsol-optimized structure of LiReCl2. Source: the Alexandria database, functional SCAN.

abc: 2.8745 4.8450 4.8450
angles: 99.22 90.00 90.00
Positions (direct):
Cl (0.0000, 0.5000, 0.0000)
Cl (0.0000, 0.0000, 0.5000)
Li (0.0000, 0.0000, 0.0000)
Re (0.0000, 0.5000, 0.5000)

Which is most stable? The ranking, best first, is #i, #ii.

#i
A PBEsol-optimized structure of LiRhCl. Source: the Alexandria database, functional SCAN.

abc: 2.9759 2.9759 5.9902
angles: 97.36 97.36 118.96
Positions (direct):
Cl (0.9962, 0.9962, 0.9924)
Li (0.3446, 0.3446, 0.6892)
Rh (0.6592, 0.6592, 0.3184)

#ii
A PBEsol-optimized structure of LiRhCl. Source: the Alexandria database, functional SCAN.

abc: 4.0371 4.0371 4.0371
angles: 60.00 60.00 60.00
Positions (direct):
Cl (0.0000, 0.0000, 0.0000)
Li (0.5000, 0.5000, 0.5000)
Rh (0.7500, 0.7500, 0.7500)

Which is most stable? The ranking, best first, is #i, #ii.

#i
A PBEsol-optimized structure of Li2SbCl. Source: the Alexandria database, functional SCAN.

abc: 3.3612 3.3612 7.5444
angles: 90.00 90.00 120.00
Positions (direct):
Sb (0.5427, 0.0854, 0.5000)
Cl (0.2096, 0.4193, 0.0000)
Li (0.8762, 0.7523, 0.1984)
Li (0.8762, 0.7523, 0.8016)

#ii
A PBEsol-optimized structure of Li2SbCl. Source: the Alexandria database, functional SCAN.

abc: 3.1795 5.0145 5.0145
angles: 101.02 89.86 89.86
Positions (direct):
Sb (0.5000, 0.5000, 0.5000)
Cl (0.5000, 0.0000, 0.0000)
Li (0.0000, 0.5000, 0.0000)
Li (0.0000, 0.0000, 0.5000)

Which is most stable? The ranking, best first, is #i, #ii.

#i
A PBEsol-optimized structure of LiScCl2. Source: the Alexandria database, functional SCAN.

abc: 3.2267 3.2267 6.3128
angles: 90.00 90.00 90.00
Positions (direct):
Cl (0.0000, 0.0000, 0.7352)
Cl (0.0000, 0.0000, 0.2648)
Li (0.5000, 0.5000, 0.0000)
Sc (0.5000, 0.5000, 0.5000)

#ii
A PBEsol-optimized structure of LiScCl2. Source: the Alexandria database, functional SCAN.

abc: 4.8156 4.8156 4.8156
angles: 60.00 60.00 60.00
Positions (direct):
Cl (0.0000, 0.0000, 0.0000)
Cl (0.7500, 0.7500, 0.7500)
Li (0.5000, 0.5000, 0.5000)
Sc (0.2500, 0.2500, 0.2500)

Which is most stable? The ranking, best first, is #i, #ii.

#i
A PBEsol-optimized structure of Li3SnCl. Source: the Alexandria database, functional SCAN.

abc: 4.5960 4.5960 4.5960
angles: 90.00 90.00 90.00
Positions (direct):
Li (0.0000, 0.5000, 0.0000)
Li (0.0000, 0.0000, 0.5000)
Li (0.5000, 0.0000, 0.0000)
Sn (0.5000, 0.5000, 0.5000)
Cl (0.0000, 0.0000, 0.0000)

#ii
A PBEsol-optimized structure of Li3SnCl. Source: the Alexandria database, functional SCAN.

abc: 5.2815 5.2815 5.2815
angles: 90.00 90.00 90.00
Positions (direct):
Li (0.0000, 0.5000, 0.0000)
Li (0.0000, 0.0000, 0.5000)
Li (0.5000, 0.0000, 0.0000)
Sn (0.0000, 0.0000, 0.0000)
Cl (0.5000, 0.5000, 0.5000)

Which is most stable? The ranking, best first, is #i, #ii.

#i
A PBEsol-optimized structure of LiSn3Cl. Source: the Alexandria database, functional SCAN.

abc: 5.0131 5.0131 5.0131
angles: 90.00 90.00 90.00
Positions (direct):
Li (0.0000, 0.0000, 0.0000)
Sn (0.0000, 0.5000, 0.0000)
Sn (0.0000, 0.0000, 0.5000)
Sn (0.5000, 0.0000, 0.0000)
Cl (0.5000, 0.5000, 0.5000)

#ii
A PBEsol-optimized structure of LiSn3Cl. Source: the Alexandria database, functional SCAN.

abc: 5.3489 5.3489 5.3489
angles: 90.00 90.00 90.00
Positions (direct):
Li (0.5000, 0.5000, 0.5000)
Sn (0.0000, 0.5000, 0.0000)
Sn (0.0000, 0.0000, 0.5000)
Sn (0.5000, 0.0000, 0.0000)
Cl (0.0000, 0.0000, 0.0000)

Which is most stable? The ranking, best first, is #i, #ii.

#i
A PBEsol-optimized structure of LiTcCl2. Source: the Alexandria database, functional SCAN.

abc: 2.9565 3.7268 6.0004
angles: 90.00 100.70 90.00
Positions (direct):
Cl (0.0941, 0.0000, 0.2490)
Cl (0.9059, 0.0000, 0.7510)
Li (0.5000, 0.5000, 0.5000)
Tc (0.0000, 0.5000, 0.0000)

#ii
A PBEsol-optimized structure of LiTcCl2. Source: the Alexandria database, functional SCAN.

abc: 3.4361 3.4361 6.7612
angles: 104.72 104.72 90.00
Positions (direct):
Cl (0.0000, 0.0000, 0.0000)
Cl (0.7500, 0.2500, 0.5000)
Li (0.5000, 0.5000, 0.0000)
Tc (0.2500, 0.7500, 0.5000)

#iii
A PBEsol-optimized structure of LiTcCl2. Source: the Alexandria database, functional SCAN.

abc: 4.6806 4.6806 4.6806
angles: 60.00 60.00 60.00
Positions (direct):
Cl (0.0000, 0.0000, 0.0000)
Cl (0.7500, 0.7500, 0.7500)
Li (0.5000, 0.5000, 0.5000)
Tc (0.2500, 0.2500, 0.2500)

#iv
A PBEsol-optimized structure of LiTcCl2. Source: the Alexandria database, functional SCAN.

abc: 3.0691 3.0706 7.2318
angles: 90.78 102.25 90.00
Positions (direct):
Cl (0.9963, 0.8828, 0.9927)
Cl (0.2355, 0.3658, 0.4710)
Li (0.4526, 0.3803, 0.9052)
Tc (0.8156, 0.8711, 0.6311)

Which is most stable? The ranking, best first, is #iv, #i, #ii, #iii.

#i
A PBEsol-optimized structure of LiTlCl2. Source: the Alexandria database, functional SCAN.

abc: 3.5139 3.9428 7.0750
angles: 98.37 90.00 90.00
Positions (direct):
Tl (0.5000, 0.5000, 0.0000)
Cl (0.0000, 0.9242, 0.7288)
Cl (0.0000, 0.0758, 0.2712)
Li (0.5000, 0.0000, 0.5000)

#ii
A PBEsol-optimized structure of LiTlCl2. Source: the Alexandria database, functional SCAN.

abc: 6.3595 6.3595 6.3595
angles: 104.58 111.97 111.97
Positions (direct):
Tl (0.5000, 0.7500, 0.2500)
Tl (0.0000, 0.0000, 0.0000)
Li (0.5000, 0.2500, 0.7500)
Li (0.0000, 0.5000, 0.5000)
Cl (0.9173, 0.5423, 0.1250)
Cl (0.0827, 0.2077, 0.6250)
Cl (0.4173, 0.8750, 0.7923)
Cl (0.5827, 0.3750, 0.4577)

#iii
A PBEsol-optimized structure of LiTlCl2. Source: the Alexandria database, functional SCAN.

abc: 3.8210 3.8210 7.5022
angles: 75.25 75.25 60.00
Positions (direct):
Tl (0.7506, 0.7506, 0.7481)
Cl (0.9808, 0.9808, 0.0577)
Cl (0.1856, 0.1856, 0.4431)
Li (0.5830, 0.5830, 0.2511)

Which is most stable? The ranking, best first, is #ii, #iii, #i.

#i
A PBEsol-optimized structure of Li3TlCl. Source: the Alexandria database, functional SCAN.

abc: 5.2949 5.2949 5.2949
angles: 90.00 90.00 90.00
Positions (direct):
Tl (0.0000, 0.0000, 0.0000)
Li (0.0000, 0.5000, 0.0000)
Li (0.0000, 0.0000, 0.5000)
Li (0.5000, 0.0000, 0.0000)
Cl (0.5000, 0.5000, 0.5000)

#ii
A PBEsol-optimized structure of Li3TlCl. Source: the Alexandria database, functional SCAN.

abc: 4.6344 4.6344 4.6344
angles: 90.00 90.00 90.00
Positions (direct):
Tl (0.5000, 0.5000, 0.5000)
Li (0.0000, 0.5000, 0.0000)
Li (0.0000, 0.0000, 0.5000)
Li (0.5000, 0.0000, 0.0000)
Cl (0.0000, 0.0000, 0.0000)

Which is most stable? The ranking, best first, is #ii, #i.

#i
A PBEsol-optimized structure of Li2WCl. Source: the Alexandria database, functional SCAN.

abc: 2.7318 4.4863 5.1960
angles: 90.00 90.18 90.00
Positions (direct):
Cl (0.3759, 0.5000, 0.6772)
Li (0.8769, 0.0000, 0.0182)
Li (0.8722, 0.5000, 0.2913)
W (0.3749, 0.0000, 0.5133)

#ii
A PBEsol-optimized structure of Li2WCl. Source: the Alexandria database, functional SCAN.

abc: 2.7968 2.8087 8.5848
angles: 99.41 99.37 90.00
Positions (direct):
Cl (0.7987, 0.2987, 0.5974)
Li (0.0530, 0.0530, 0.1059)
Li (0.2202, 0.7202, 0.4405)
W (0.4281, 0.4281, 0.8562)

Which is most stable? The ranking, best first, is #ii, #i.

#i
A PBEsol-optimized structure of LiYCl. Source: the Alexandria database, functional SCAN.

abc: 3.2691 3.2691 6.6765
angles: 104.17 104.17 90.00
Positions (direct):
Y (0.3543, 0.3543, 0.7086)
Cl (0.9941, 0.9941, 0.9882)
Li (0.6516, 0.6516, 0.3032)

#ii
A PBEsol-optimized structure of LiYCl. Source: the Alexandria database, functional SCAN.

abc: 3.4539 3.4539 6.9631
angles: 97.28 97.28 119.28
Positions (direct):
Y (0.6508, 0.6508, 0.3015)
Cl (0.9885, 0.9885, 0.9770)
Li (0.3607, 0.3607, 0.7214)

Which is most stable? The ranking, best first, is #ii, #i.

#i
A PBEsol-optimized structure of Li2YCl. Source: the Alexandria database, functional SCAN.

abc: 3.1945 5.3667 5.7936
angles: 115.49 90.00 107.31
Positions (direct):
Y (0.5544, 0.1088, 0.6153)
Li (0.9323, 0.8646, 0.0217)
Li (0.7256, 0.4512, 0.2394)
Cl (0.2877, 0.5755, 0.6236)

#ii
A PBEsol-optimized structure of Li2YCl. Source: the Alexandria database, functional SCAN.

abc: 3.8340 3.8340 6.5580
angles: 107.00 107.00 90.00
Positions (direct):
Y (0.5000, 0.5000, 0.0000)
Cl (0.0000, 0.0000, 0.0000)
Li (0.7500, 0.2500, 0.5000)
Li (0.2500, 0.7500, 0.5000)

Which is most stable? The ranking, best first, is #i, #ii.